! BaHoGa4 (PBE, relaxed); values from VASP
&SYSTEM
  ibrav = 0, nat = 6, ntyp = 3
/
ATOMIC_SPECIES
Ba 137.33 Ba.upf
Ho 164.93 Ho.upf
Ga 69.72 Ga.upf
CELL_PARAMETERS angstrom
0.000 4.066 4.066
4.066 0.000 4.066
4.066 4.066 0.000
ATOMIC_POSITIONS angstrom
Ba 0.000 0.000 0.000
Ho 2.033 2.033 2.033
Ga 5.078 3.054 3.054
Ga 3.054 5.078 3.054
Ga 3.054 3.054 5.078
Ga 5.078 5.078 5.078
! Crystal system = cubic
! Fermi-level density of states = 2.05 states/eV/f.u.
! Density = 7.176 g/cm3
! SG = No. 216
! DFT formation energy = -0.36 eV per atom

! CuNiBiPb2 (PBE, relaxed); values from VASP
&SYSTEM
  ibrav = 0, nat = 5, ntyp = 4
/
ATOMIC_SPECIES
Cu 63.55 Cu.upf
Ni 58.69 Ni.upf
Bi 208.98 Bi.upf
Pb 207.20 Pb.upf
CELL_PARAMETERS angstrom
5.119 0.000 0.000
0.000 5.119 0.000
0.000 0.000 4.755
ATOMIC_POSITIONS angstrom
Cu 0.000 0.000 0.000
Ni 0.000 0.000 2.377
Bi 2.560 2.560 0.000
Pb 0.000 2.560 2.377
Pb 2.560 0.000 2.377
! Crystal system = tetragonal
! Fermi-level density of states = 2.51 states/eV/f.u.
! Density = 9.935 g/cm3
! SG = No. 123
! DFT formation energy = 0.33 eV per atom

! LiThH6Ir (PBE, relaxed); values from VASP
&SYSTEM
  ibrav = 0, nat = 9, ntyp = 4
/
ATOMIC_SPECIES
Li 6.94 Li.upf
Th 232.04 Th.upf
H 1.01 H.upf
Ir 192.22 Ir.upf
CELL_PARAMETERS angstrom
4.561 0.000 0.000
-2.280 3.950 0.000
0.000 0.000 4.377
ATOMIC_POSITIONS angstrom
Li 0.000 0.000 0.000
Th 2.280 1.317 2.188
H 0.000 1.378 1.188
H 0.000 1.378 3.189
H -1.087 3.261 1.188
H -1.087 3.261 3.189
H 1.087 3.261 1.188
H 1.087 3.261 3.189
Ir 0.000 2.633 0.000
! DFT total energy = -4.64 eV per atom
! Crystal system = hexagonal
! Fermi-level density of states = 1.87 states/eV/f.u.
! Density = 9.208 g/cm3
! SG = No. 187

! K2ScCoGe (PBE, relaxed); values from VASP
&SYSTEM
  ibrav = 0, nat = 5, ntyp = 4
/
ATOMIC_SPECIES
K 39.10 K.upf
Sc 44.96 Sc.upf
Co 58.93 Co.upf
Ge 72.64 Ge.upf
CELL_PARAMETERS angstrom
6.974 0.000 0.000
0.000 6.974 0.000
0.000 0.000 4.982
ATOMIC_POSITIONS angstrom
K 0.000 3.487 0.000
K 3.487 0.000 0.000
Sc 0.000 0.000 0.000
Co 3.487 3.487 2.491
Ge 0.000 0.000 2.491
! Crystal system = tetragonal
! Fermi-level density of states = 12.31 states/eV/f.u.
! Density = 1.746 g/cm3
! SG = No. 123
! DFT formation energy = 1.17 eV per atom

! SrCr2Ni (PBE, relaxed); values from VASP
&SYSTEM
  ibrav = 0, nat = 4, ntyp = 3
/
ATOMIC_SPECIES
Sr 87.62 Sr.upf
Cr 52.00 Cr.upf
Ni 58.69 Ni.upf
CELL_PARAMETERS angstrom
-1.881 2.432 4.586
1.881 -2.432 4.586
1.881 2.432 -4.586
ATOMIC_POSITIONS angstrom
Sr 0.000 0.000 0.000
Cr 1.881 0.000 2.617
Cr 0.000 0.000 5.263
Ni 0.000 2.432 2.209
! Crystal system = orthorhombic
! Fermi-level density of states = 5.32 states/eV/f.u.
! Density = 4.952 g/cm3
! SG = No. 44
! DFT formation energy = 0.91 eV per atom

! Pm3SiC (PBE, relaxed); values from VASP
&SYSTEM
  ibrav = 0, nat = 10, ntyp = 3
/
ATOMIC_SPECIES
Pm 145.00 Pm.upf
Si 28.09 Si.upf
C 12.01 C.upf
CELL_PARAMETERS angstrom
2.507 -10.305 0.000
2.507 10.305 0.000
0.000 0.000 4.980
ATOMIC_POSITIONS angstrom
Pm 2.507 9.016 3.735
Pm 2.507 6.302 1.245
Pm 2.507 1.579 3.735
Pm 2.507 -1.579 1.245
Pm 2.507 -6.302 3.735
Pm 2.507 -9.016 1.245
Si 2.507 3.293 1.245
Si 2.507 -3.293 3.735
C 2.507 8.772 1.245
C 2.507 -8.772 3.735
! DFT total energy = -6.04 eV per atom
! Crystal system = orthorhombic
! Fermi-level density of states = 2.61 states/eV/f.u.
! Density = 6.133 g/cm3
! SG = No. 63

! Pr3HgO2 (PBE, relaxed); values from VASP
&SYSTEM
  ibrav = 0, nat = 6, ntyp = 3
/
ATOMIC_SPECIES
Pr 140.91 Pr.upf
Hg 200.59 Hg.upf
O 16.00 O.upf
CELL_PARAMETERS angstrom
-2.214 2.516 6.143
2.214 -2.516 6.143
2.214 2.516 -6.143
ATOMIC_POSITIONS angstrom
Pr 0.000 0.000 0.000
Pr 2.214 0.000 3.349
Pr 0.000 2.516 2.793
Hg 0.000 0.000 6.143
O 0.000 0.000 2.439
O 0.000 0.000 9.846
! DFT total energy = -6.07 eV per atom
! Crystal system = orthorhombic
! Fermi-level density of states = 3.65 states/eV/f.u.
! Density = 7.952 g/cm3
! SG = No. 71

! Sn2Te2Pd (PBE, relaxed); values from VASP
&SYSTEM
  ibrav = 0, nat = 10, ntyp = 3
/
ATOMIC_SPECIES
Sn 118.71 Sn.upf
Te 127.60 Te.upf
Pd 106.42 Pd.upf
CELL_PARAMETERS angstrom
7.648 0.000 0.000
0.000 7.648 0.000
0.000 0.000 4.646
ATOMIC_POSITIONS angstrom
Sn 1.168 2.656 0.000
Sn 2.656 6.479 0.000
Sn 4.992 1.168 0.000
Sn 6.479 4.992 0.000
Te 1.326 5.149 2.323
Te 2.498 1.326 2.323
Te 5.149 6.322 2.323
Te 6.322 2.498 2.323
Pd 0.000 0.000 0.000
Pd 3.824 3.824 0.000
! DFT total energy = -3.83 eV per atom
! Crystal system = tetragonal
! Fermi-level density of states = 2.25 states/eV/f.u.
! Density = 7.322 g/cm3
! SG = No. 127

! NaCd8Au6 (PBE, relaxed); values from VASP
&SYSTEM
  ibrav = 0, nat = 15, ntyp = 3
/
ATOMIC_SPECIES
Na 22.99 Na.upf
Cd 112.41 Cd.upf
Au 196.97 Au.upf
CELL_PARAMETERS angstrom
4.118 2.378 5.681
-4.118 2.378 5.681
0.000 -4.755 5.681
ATOMIC_POSITIONS angstrom
Na 0.000 0.000 0.000
Cd -2.781 0.083 7.677
Cd -1.462 -2.367 9.365
Cd 0.000 0.000 5.681
Cd 1.319 -2.450 7.677
Cd -1.319 2.450 9.365
Cd 0.000 0.000 11.361
Cd 1.462 2.367 7.677
Cd 2.781 -0.083 9.365
Au -1.395 -2.331 6.579
Au -2.716 0.043 10.463
Au -1.321 2.374 6.579
Au 1.321 -2.374 10.463
Au 2.716 -0.043 6.579
Au 1.395 2.331 10.463
! Crystal system = trigonal
! Fermi-level density of states = 4.89 states/eV/f.u.
! Density = 10.470 g/cm3
! SG = No. 148
! DFT formation energy = -0.19 eV per atom

! LiCu2TeH (PBE, relaxed); values from VASP
&SYSTEM
  ibrav = 0, nat = 5, ntyp = 4
/
ATOMIC_SPECIES
Li 6.94 Li.upf
Cu 63.55 Cu.upf
Te 127.60 Te.upf
H 1.01 H.upf
CELL_PARAMETERS angstrom
3.916 0.000 0.000
0.000 3.916 0.000
0.000 0.000 4.351
ATOMIC_POSITIONS angstrom
Li 0.000 0.000 0.000
Cu 0.000 1.958 2.176
Cu 1.958 0.000 2.176
Te 1.958 1.958 0.000
H 0.000 0.000 2.176
! DFT total energy = -3.43 eV per atom
! Crystal system = tetragonal
! Fermi-level density of states = 0.90 states/eV/f.u.
! Density = 6.537 g/cm3
! SG = No. 123

! LaTa2AlS (PBE, relaxed); values from VASP
&SYSTEM
  ibrav = 0, nat = 5, ntyp = 4
/
ATOMIC_SPECIES
La 138.91 La.upf
Ta 180.95 Ta.upf
Al 26.98 Al.upf
S 32.06 S.upf
CELL_PARAMETERS angstrom
4.930 0.000 0.000
0.000 4.930 0.000
0.000 0.000 4.861
ATOMIC_POSITIONS angstrom
La 0.000 0.000 0.000
Ta 0.000 2.465 2.430
Ta 2.465 0.000 2.430
Al 2.465 2.465 2.430
S 2.465 2.465 0.000
! DFT total energy = -6.42 eV per atom
! Crystal system = tetragonal
! Fermi-level density of states = 3.74 states/eV/f.u.
! Density = 7.870 g/cm3
! SG = No. 123

! ScTa2Co2 (PBE, relaxed); values from VASP
&SYSTEM
  ibrav = 0, nat = 10, ntyp = 3
/
ATOMIC_SPECIES
Sc 44.96 Sc.upf
Ta 180.95 Ta.upf
Co 58.93 Co.upf
CELL_PARAMETERS angstrom
7.145 0.000 0.000
0.000 7.145 0.000
0.000 0.000 3.077
ATOMIC_POSITIONS angstrom
Sc 0.000 0.000 0.000
Sc 3.573 3.573 0.000
Ta 1.184 2.389 1.538
Ta 2.389 5.962 1.538
Ta 4.756 1.184 1.538
Ta 5.962 4.756 1.538
Co 0.911 4.483 0.000
Co 2.662 0.911 0.000
Co 4.483 6.235 0.000
Co 6.235 2.662 0.000
! Crystal system = tetragonal
! Fermi-level density of states = 6.00 states/eV/f.u.
! Density = 11.094 g/cm3
! SG = No. 127
! DFT formation energy = -0.13 eV per atom

! KCrSe (PBE, relaxed); values from VASP
&SYSTEM
  ibrav = 0, nat = 3, ntyp = 3
/
ATOMIC_SPECIES
K 39.10 K.upf
Cr 52.00 Cr.upf
Se 78.96 Se.upf
CELL_PARAMETERS angstrom
4.441 0.000 0.000
-2.220 3.846 0.000
0.000 0.000 5.148
ATOMIC_POSITIONS angstrom
K 0.000 0.000 0.000
Cr 0.000 2.564 2.574
Se 2.220 1.282 2.574
! DFT total energy = -5.06 eV per atom
! Crystal system = hexagonal
! Fermi-level density of states = 0.25 states/eV/f.u.
! Density = 3.212 g/cm3
! SG = No. 187

! CoGe4Os (PBE, relaxed); values from VASP
&SYSTEM
  ibrav = 0, nat = 12, ntyp = 3
/
ATOMIC_SPECIES
Co 58.93 Co.upf
Ge 72.64 Ge.upf
Os 190.23 Os.upf
CELL_PARAMETERS angstrom
6.231 0.000 0.000
0.000 5.915 0.000
-3.099 0.000 6.064
ATOMIC_POSITIONS angstrom
Co 0.000 0.000 0.000
Co -1.549 2.957 3.032
Ge -1.589 1.298 4.714
Ge -0.040 1.660 1.682
Ge -0.061 4.237 4.325
Ge 1.488 4.635 1.293
Ge 1.644 1.280 4.771
Ge 3.194 1.677 1.739
Ge 3.172 4.255 4.383
Ge 4.722 4.617 1.350
Os 3.116 0.000 0.000
Os 1.566 2.957 3.032
! Crystal system = monoclinic
! Fermi-level density of states = 2.15 states/eV/f.u.
! Density = 8.019 g/cm3
! SG = No. 14
! DFT formation energy = 0.02 eV per atom

! Ca2RuW (PBE, relaxed); values from VASP
&SYSTEM
  ibrav = 0, nat = 4, ntyp = 3
/
ATOMIC_SPECIES
Ca 40.08 Ca.upf
Ru 101.07 Ru.upf
W 183.84 W.upf
CELL_PARAMETERS angstrom
-1.795 2.615 5.016
1.795 -2.615 5.016
1.795 2.615 -5.016
ATOMIC_POSITIONS angstrom
Ca 0.000 0.000 0.000
Ca 0.000 2.615 2.161
Ru 0.000 0.000 4.534
W 1.795 0.000 2.966
! Crystal system = orthorhombic
! Fermi-level density of states = 3.57 states/eV/f.u.
! Density = 6.438 g/cm3
! SG = No. 44
! DFT formation energy = 0.43 eV per atom

! PuHfTe2 (PBE, relaxed); values from VASP
&SYSTEM
  ibrav = 0, nat = 4, ntyp = 3
/
ATOMIC_SPECIES
Pu 244.00 Pu.upf
Hf 178.49 Hf.upf
Te 127.60 Te.upf
CELL_PARAMETERS angstrom
1.919 1.108 10.043
-1.919 1.108 10.043
0.000 -2.216 10.043
ATOMIC_POSITIONS angstrom
Pu 0.000 0.000 0.000
Hf 0.000 0.000 15.065
Te 0.000 0.000 3.185
Te 0.000 0.000 26.944
! DFT total energy = -8.04 eV per atom
! Crystal system = trigonal
! Fermi-level density of states = 11.99 states/eV/f.u.
! Density = 8.781 g/cm3
! SG = No. 166

! Tm6Sb2Pt (PBE, relaxed); values from VASP
&SYSTEM
  ibrav = 0, nat = 18, ntyp = 3
/
ATOMIC_SPECIES
Tm 168.93 Tm.upf
Sb 121.76 Sb.upf
Pt 195.08 Pt.upf
CELL_PARAMETERS angstrom
6.315 0.000 0.000
0.000 7.867 0.000
-6.093 0.000 9.997
ATOMIC_POSITIONS angstrom
Tm -2.238 1.509 4.556
Tm -5.284 2.424 9.554
Tm -0.741 5.283 4.544
Tm -3.787 6.517 9.542
Tm 0.915 0.214 2.411
Tm -2.131 3.720 7.409
Tm 2.354 4.147 2.588
Tm -0.692 7.653 7.586
Tm 4.010 1.350 0.455
Tm 0.964 2.584 5.453
Tm 5.507 5.443 0.442
Tm 2.460 6.358 5.441
Sb -3.600 0.921 7.455
Sb -0.554 3.012 2.456
Sb 0.777 4.855 7.541
Sb 3.823 6.946 2.542
Pt 0.111 0.000 4.998
Pt 3.158 3.934 0.000
! DFT total energy = -5.29 eV per atom
! Crystal system = monoclinic
! Fermi-level density of states = 8.65 states/eV/f.u.
! Density = 9.710 g/cm3
! SG = No. 14

! LaRe2IrF (PBE, relaxed); values from VASP
&SYSTEM
  ibrav = 0, nat = 5, ntyp = 4
/
ATOMIC_SPECIES
La 138.91 La.upf
Re 186.21 Re.upf
Ir 192.22 Ir.upf
F 19.00 F.upf
CELL_PARAMETERS angstrom
4.170 0.000 0.000
0.000 4.170 0.000
0.000 0.000 5.132
ATOMIC_POSITIONS angstrom
La 0.000 0.000 0.000
Re 0.000 2.085 2.566
Re 2.085 0.000 2.566
Ir 2.085 2.085 0.000
F 2.085 2.085 2.566
! DFT total energy = -7.27 eV per atom
! Crystal system = tetragonal
! Fermi-level density of states = 6.07 states/eV/f.u.
! Density = 13.447 g/cm3
! SG = No. 123

! CsRbBa4 (PBE, relaxed); values from VASP
&SYSTEM
  ibrav = 0, nat = 6, ntyp = 3
/
ATOMIC_SPECIES
Cs 132.91 Cs.upf
Rb 85.47 Rb.upf
Ba 137.33 Ba.upf
CELL_PARAMETERS angstrom
0.000 6.182 6.182
6.182 0.000 6.182
6.182 6.182 0.000
ATOMIC_POSITIONS angstrom
Cs 0.000 0.000 0.000
Rb 3.091 3.091 3.091
Ba 7.727 4.638 4.638
Ba 4.638 7.727 4.638
Ba 4.638 4.638 7.727
Ba 7.727 7.727 7.727
! Crystal system = cubic
! Fermi-level density of states = 10.26 states/eV/f.u.
! Density = 2.697 g/cm3
! SG = No. 216
! DFT formation energy = 0.17 eV per atom

! La2B2PtRh5 (PBE, relaxed); values from VASP
&SYSTEM
  ibrav = 0, nat = 20, ntyp = 4
/
ATOMIC_SPECIES
La 138.91 La.upf
B 10.81 B.upf
Pt 195.08 Pt.upf
Rh 102.91 Rh.upf
CELL_PARAMETERS angstrom
9.844 0.000 0.000
0.000 9.844 0.000
0.000 0.000 3.228
ATOMIC_POSITIONS angstrom
La 1.767 3.155 0.000
La 3.155 8.077 0.000
La 6.689 1.767 0.000
La 8.077 6.689 0.000
B 1.183 6.105 0.000
B 3.739 1.183 0.000
B 6.105 8.661 0.000
B 8.661 3.739 0.000
Pt 0.000 0.000 0.000
Pt 4.922 4.922 0.000
Rh 0.000 4.922 1.614
Rh 0.684 7.571 1.614
Rh 2.273 0.684 1.614
Rh 2.649 5.606 1.614
Rh 4.238 2.649 1.614
Rh 4.922 0.000 1.614
Rh 5.606 7.195 1.614
Rh 7.195 4.238 1.614
Rh 7.571 9.160 1.614
Rh 9.160 2.273 1.614
! Crystal system = tetragonal
! Fermi-level density of states = 6.44 states/eV/f.u.
! Density = 10.713 g/cm3
! SG = No. 127
! DFT formation energy = -0.57 eV per atom